[1]
Ti2GeB2Ru5, relaxed, DFT PBE-GGA; N(E_F) = 8.219 states/eV per cell; magnetization = 0.000 μB/cell; ΔE_f = -0.608 eV per atom; calculated volume = 12.72 Å³/atom
1.0
9.221 0.000 0.000
0.000 9.221 0.000
0.000 0.000 2.991
Ti Ge B Ru
4 2 4 10
direct
0.175 0.325 0.000
0.325 0.825 0.000
0.675 0.175 0.000
0.825 0.675 0.000
0.000 0.000 0.000
0.500 0.500 0.000
0.125 0.625 0.000
0.375 0.125 0.000
0.625 0.875 0.000
0.875 0.375 0.000
0.000 0.500 0.500
0.072 0.787 0.500
0.213 0.072 0.500
0.287 0.572 0.500
0.428 0.287 0.500
0.500 0.000 0.500
0.572 0.713 0.500
0.713 0.428 0.500
0.787 0.928 0.500
0.928 0.213 0.500

=====

[2]
TlGe2BRu, relaxed, DFT PBE-GGA; N(E_F) = 2.632 states/eV per cell; magnetization = 2.149 μB/cell; ΔE_f = 1.989 eV per atom; calculated volume = 23.80 Å³/atom
1.0
5.430 0.000 0.000
0.000 5.430 0.000
0.000 0.000 4.036
Tl Ge B Ru
1 2 1 1
direct
0.000 0.000 0.000
0.000 0.500 0.000
0.500 0.000 0.000
0.000 0.000 0.500
0.500 0.500 0.500

=====

[3]
U2GeB2Ru5, relaxed, DFT PBE-GGA; N(E_F) = 15.980 states/eV per cell; magnetization = 3.970 μB/cell; ΔE_f = -0.476 eV per atom; calculated volume = 14.22 Å³/atom
1.0
9.531 0.000 0.000
0.000 9.531 0.000
0.000 0.000 3.130
U Ge B Ru
4 2 4 10
direct
0.176 0.324 0.000
0.324 0.824 0.000
0.676 0.176 0.000
0.824 0.676 0.000
0.000 0.000 0.000
0.500 0.500 0.000
0.122 0.622 0.000
0.378 0.122 0.000
0.622 0.878 0.000
0.878 0.378 0.000
0.000 0.500 0.500
0.071 0.783 0.500
0.217 0.071 0.500
0.283 0.571 0.500
0.429 0.283 0.500
0.500 0.000 0.500
0.571 0.717 0.500
0.717 0.429 0.500
0.783 0.929 0.500
0.929 0.217 0.500

=====

[4]
Y2GeB2Ru5, relaxed, DFT PBE-GGA; N(E_F) = 17.958 states/eV per cell; magnetization = 0.000 μB/cell; ΔE_f = -0.475 eV per atom; calculated volume = 14.27 Å³/atom
1.0
9.583 0.000 0.000
0.000 9.583 0.000
0.000 0.000 3.108
Y Ge B Ru
4 2 4 10
direct
0.176 0.324 0.000
0.324 0.824 0.000
0.676 0.176 0.000
0.824 0.676 0.000
0.000 0.000 0.000
0.500 0.500 0.000
0.123 0.623 0.000
0.377 0.123 0.000
0.623 0.877 0.000
0.877 0.377 0.000
0.000 0.500 0.500
0.068 0.784 0.500
0.216 0.068 0.500
0.284 0.568 0.500
0.432 0.284 0.500
0.500 0.000 0.500
0.568 0.716 0.500
0.716 0.432 0.500
0.784 0.932 0.500
0.932 0.216 0.500

=====

[5]
Zr2GeB2Ru5, relaxed, DFT PBE-GGA; N(E_F) = 8.358 states/eV per cell; magnetization = 0.000 μB/cell; ΔE_f = -0.643 eV per atom; calculated volume = 13.60 Å³/atom
1.0
9.400 0.000 0.000
0.000 9.400 0.000
0.000 0.000 3.077
Zr Ge B Ru
4 2 4 10
direct
0.176 0.324 0.000
0.324 0.824 0.000
0.676 0.176 0.000
0.824 0.676 0.000
0.000 0.000 0.000
0.500 0.500 0.000
0.124 0.624 0.000
0.376 0.124 0.000
0.624 0.876 0.000
0.876 0.376 0.000
0.000 0.500 0.500
0.069 0.785 0.500
0.215 0.069 0.500
0.285 0.569 0.500
0.431 0.285 0.500
0.500 0.000 0.500
0.569 0.715 0.500
0.715 0.431 0.500
0.785 0.931 0.500
0.931 0.215 0.500

=====

[6]
GeBS2, relaxed, DFT PBE-GGA; N(E_F) = 1.812 states/eV per cell; magnetization = 0.000 μB/cell; energy relative to the lowest polymorph listed for this composition = 946 meV/atom; calculated volume = 14.84 Å³/atom
1.0
0.000 3.096 3.096
3.096 0.000 3.096
3.096 3.096 0.000
Ge B S
1 1 2
direct
0.000 0.000 0.000
0.500 0.500 0.500
0.250 0.250 0.250
0.750 0.750 0.750

=====

[7]
GeBS2, relaxed, DFT PBE-GGA; N(E_F) = 2.250 states/eV per cell; magnetization = 0.000 μB/cell; energy relative to the lowest polymorph listed for this composition = 94 meV/atom; calculated volume = 21.50 Å³/atom
1.0
1.893 1.093 6.928
-1.893 1.093 6.928
0.000 -2.186 6.928
Ge B S
1 1 2
direct
0.000 0.000 0.000
0.500 0.500 0.500
0.418 0.418 0.418
0.582 0.582 0.582

=====

[8]
GeB3S, relaxed, DFT PBE-GGA; N(E_F) = 2.631 states/eV per cell; magnetization = 0.000 μB/cell; energy relative to the lowest polymorph listed for this composition = 249 meV/atom; calculated volume = 14.49 Å³/atom
1.0
4.168 0.000 0.000
0.000 4.168 0.000
0.000 0.000 4.168
Ge B S
1 3 1
direct
0.000 0.000 0.000
0.000 0.000 0.500
0.000 0.500 0.000
0.500 0.000 0.000
0.500 0.500 0.500

=====

> Among the records above, which one has the lowest calculated volume?

Ti2GeB2Ru5

=====

> Number 3 is which compound?

U2GeB2Ru5